Computed, not measured: crystalline TiMnPO2 at its relaxed geometry at the PBE with a Hubbard U level of DFT.

Cell and atoms, written as POSCAR:
```
TiMnPO2
1.0
3.6936 0.0000 0.0000
0.0000 3.6936 0.0000
0.0000 0.0000 4.9491
Ti Mn P O
1 1 1 2
Cartesian
0.0000 0.0000 0.0000
1.8468 1.8468 2.4746
1.8468 1.8468 0.0000
0.0000 1.8468 2.4746
1.8468 0.0000 2.4746
```

- Theoretical density: 4.1 g/cm³
- Excess energy over the best structure of this formula in the dataset: 688.1 meV/atom